The following is a PBEsol calculation of an optimized crystal structure of In2PbS2, from the Alexandria database.

Lattice parameters (Å, degrees): 8.1018 8.1018 8.1018 151.44 151.44 40.83
Positions (direct):
1 In 0.2500 0.7500 0.5000
2 In 0.7500 0.2500 0.5000
3 Pb 0.0000 0.0000 0.0000
4 S 0.4060 0.4060 0.0000
5 S 0.5940 0.5940 0.0000

The volume is 24.26 A^3/atom. Its electronic total energy is -3.786 eV/atom. Its density of states at the Fermi level is 0.40 states/eV/atom. The density is 6.86 g/cm3. As for the formation energy from raw total energies: -4 kJ per mole of atoms.